# Tl4ZnPt, optimized geometry, DFT GGA-PBE
# Final energy ... -54.258 eV for the cell shown
# N(E_F) ... 0.81 states/eV per atom
# Crystal system ... cubic
data_Tl4ZnPt
_chemical_formula_sum 'Tl16 Zn4 Pt4'
_symmetry_space_group_name_H-M 'F -4 3 m'
_symmetry_Int_Tables_number 216
_symmetry_space_group_name_Hall 'F -4 2 3'
_cell_length_a 8.771
_cell_length_b 8.771
_cell_length_c 8.771
_cell_angle_alpha 90.00
_cell_angle_beta 90.00
_cell_angle_gamma 90.00
loop_
_atom_site_label
_atom_site_type_symbol
_atom_site_fract_x
_atom_site_fract_y
_atom_site_fract_z
Tl1 Tl 0.124 0.124 0.376
Zn1 Zn 0.000 0.000 0.000
Pt1 Pt 0.250 0.250 0.750



# TlZnPt2, optimized geometry, DFT GGA-PBE
# Final energy ... -32.323 eV for the cell shown
# N(E_F) ... 0.42 states/eV per atom
# Crystal system ... orthorhombic
data_TlZnPt2
_chemical_formula_sum 'Tl2 Zn2 Pt4'
_symmetry_space_group_name_H-M 'C m m m'
_symmetry_Int_Tables_number 65
_symmetry_space_group_name_Hall '-C 2 2'
_cell_length_a 5.869
_cell_length_b 7.681
_cell_length_c 3.039
_cell_angle_alpha 90.00
_cell_angle_beta 90.00
_cell_angle_gamma 90.00
loop_
_atom_site_label
_atom_site_type_symbol
_atom_site_fract_x
_atom_site_fract_y
_atom_site_fract_z
Tl1 Tl 0.000 0.000 0.000
Zn1 Zn 0.000 0.500 0.000
Pt1 Pt 0.250 0.250 0.500



# TlZnPt2, optimized geometry, DFT GGA-PBE
# Final energy ... -32.690 eV for the cell shown
# N(E_F) ... 0.15 states/eV per atom
# Crystal system ... tetragonal
data_TlZnPt2
_chemical_formula_sum 'Tl2 Zn2 Pt4'
_symmetry_space_group_name_H-M 'I 4/m m m'
_symmetry_Int_Tables_number 139
_symmetry_space_group_name_Hall '-I 4 2'
_cell_length_a 4.156
_cell_length_b 4.156
_cell_length_c 7.875
_cell_angle_alpha 90.00
_cell_angle_beta 90.00
_cell_angle_gamma 90.00
loop_
_atom_site_label
_atom_site_type_symbol
_atom_site_fract_x
_atom_site_fract_y
_atom_site_fract_z
Tl1 Tl 0.000 0.000 0.000
Zn1 Zn 0.000 0.000 0.500
Pt1 Pt 0.000 0.500 0.250



# TlZn2Pt, optimized geometry, DFT GGA-PBE
# Final energy ... -10.879 eV for the cell shown
# N(E_F) ... 0.40 states/eV per atom
# Energy relative to the lowest polymorph listed for this composition ... 0.226 eV/atom
# Crystal system ... tetragonal
data_TlZn2Pt
_chemical_formula_sum 'Tl1 Zn2 Pt1'
_symmetry_space_group_name_H-M 'P 4/m m m'
_symmetry_Int_Tables_number 123
_symmetry_space_group_name_Hall '-P 4 2'
_cell_length_a 4.261
_cell_length_b 4.261
_cell_length_c 3.826
_cell_angle_alpha 90.00
_cell_angle_beta 90.00
_cell_angle_gamma 90.00
loop_
_atom_site_label
_atom_site_type_symbol
_atom_site_fract_x
_atom_site_fract_y
_atom_site_fract_z
Tl1 Tl 0.000 0.000 0.000
Zn1 Zn 0.000 0.500 0.500
Pt1 Pt 0.500 0.500 0.000



# TlZn2Pt, optimized geometry, DFT GGA-PBE
# Final energy ... -11.224 eV for the cell shown
# N(E_F) ... 0.20 states/eV per atom
# Energy relative to the lowest polymorph listed for this composition ... 0.139 eV/atom
# Crystal system ... tetragonal
data_TlZn2Pt
_chemical_formula_sum 'Tl1 Zn2 Pt1'
_symmetry_space_group_name_H-M 'P 4 m m'
_symmetry_Int_Tables_number 99
_cell_length_a 3.490
_cell_length_b 3.490
_cell_length_c 5.953
_cell_angle_alpha 90.00
_cell_angle_beta 90.00
_cell_angle_gamma 90.00
loop_
_symmetry_equiv_pos_as_xyz
'x,y,z'
'-y,x,z'
'-x,-y,z'
'y,-x,z'
'-x,y,z'
'y,x,z'
'x,-y,z'
'-y,-x,z'
loop_
_atom_site_label
_atom_site_type_symbol
_atom_site_fract_x
_atom_site_fract_y
_atom_site_fract_z
Tl1 Tl 0.000 0.000 0.000
Zn1 Zn 0.000 0.000 0.522
Zn2 Zn 0.500 0.500 0.272
Pt1 Pt 0.500 0.500 0.697



# TlZnPt2, optimized geometry, DFT GGA-PBE
# Final energy ... -16.113 eV for the cell shown
# N(E_F) ... 0.39 states/eV per atom
# Crystal system ... orthorhombic
data_TlZnPt2
_chemical_formula_sum 'Tl1 Zn1 Pt2'
_symmetry_space_group_name_H-M 'P m m 2'
_symmetry_Int_Tables_number 25
_cell_length_a 2.957
_cell_length_b 4.039
_cell_length_c 5.970
_cell_angle_alpha 90.00
_cell_angle_beta 90.00
_cell_angle_gamma 90.00
loop_
_symmetry_equiv_pos_as_xyz
'x,y,z'
'-x,-y,z'
'-x,y,z'
'x,-y,z'
loop_
_atom_site_label
_atom_site_type_symbol
_atom_site_fract_x
_atom_site_fract_y
_atom_site_fract_z
Tl1 Tl 0.000 0.000 0.000
Zn1 Zn 0.500 0.500 0.343
Pt1 Pt 0.000 0.000 0.477
Pt2 Pt 0.500 0.500 0.775



# TlZnPt2, optimized geometry, DFT GGA-PBE
# Final energy ... -62.807 eV for the cell shown
# N(E_F) ... 0.39 states/eV per atom
# Crystal system ... cubic
data_TlZnPt2
_chemical_formula_sum 'Tl4 Zn4 Pt8'
_symmetry_space_group_name_H-M 'F -4 3 m'
_symmetry_Int_Tables_number 216
_symmetry_space_group_name_Hall 'F -4 2 3'
_cell_length_a 6.507
_cell_length_b 6.507
_cell_length_c 6.507
_cell_angle_alpha 90.00
_cell_angle_beta 90.00
_cell_angle_gamma 90.00
loop_
_atom_site_label
_atom_site_type_symbol
_atom_site_fract_x
_atom_site_fract_y
_atom_site_fract_z
Tl1 Tl 0.000 0.000 0.000
Zn1 Zn 0.250 0.250 0.250
Pt1 Pt 0.000 0.000 0.500
Pt2 Pt 0.250 0.250 0.750



# TlZn2Pt, optimized geometry, DFT GGA-PBE
# Final energy ... -21.720 eV for the cell shown
# N(E_F) ... 0.28 states/eV per atom
# Energy relative to the lowest polymorph listed for this composition ... 0.230 eV/atom
# Crystal system ... orthorhombic
data_TlZn2Pt
_chemical_formula_sum 'Tl2 Zn4 Pt2'
_symmetry_space_group_name_H-M 'C m m m'
_symmetry_Int_Tables_number 65
_symmetry_space_group_name_Hall '-C 2 2'
_cell_length_a 5.879
_cell_length_b 7.737
_cell_length_c 3.080
_cell_angle_alpha 90.00
_cell_angle_beta 90.00
_cell_angle_gamma 90.00
loop_
_atom_site_label
_atom_site_type_symbol
_atom_site_fract_x
_atom_site_fract_y
_atom_site_fract_z
Tl1 Tl 0.000 0.000 0.000
Zn1 Zn 0.250 0.250 0.500
Pt1 Pt 0.000 0.500 0.000



# TlZn2Pt, optimized geometry, DFT GGA-PBE
# Final energy ... -22.690 eV for the cell shown
# N(E_F) ... 0.33 states/eV per atom
# Energy relative to the lowest polymorph listed for this composition ... 0.109 eV/atom
# Crystal system ... monoclinic
data_TlZn2Pt
_chemical_formula_sum 'Tl2 Zn4 Pt2'
_symmetry_space_group_name_H-M 'C 1 2/m 1'
_symmetry_Int_Tables_number 12
_cell_length_a 7.248
_cell_length_b 4.418
_cell_length_c 6.056
_cell_angle_alpha 90.00
_cell_angle_beta 121.38
_cell_angle_gamma 90.00
loop_
_symmetry_equiv_pos_as_xyz
'x,y,z'
'-x,-y,-z'
'-x,y,-z'
'x,-y,z'
'x+1/2,y+1/2,z'
'-x+1/2,-y+1/2,-z'
'-x+1/2,y+1/2,-z'
'x+1/2,-y+1/2,z'
loop_
_atom_site_label
_atom_site_type_symbol
_atom_site_fract_x
_atom_site_fract_y
_atom_site_fract_z
Tl1 Tl 0.000 0.000 0.000
Zn1 Zn 0.218 0.000 0.635
Pt1 Pt 0.000 0.500 0.500



# TlZnPt2, optimized geometry, DFT GGA-PBE
# Final energy ... -32.386 eV for the cell shown
# N(E_F) ... 0.31 states/eV per atom
# Crystal system ... orthorhombic
data_TlZnPt2
_chemical_formula_sum 'Tl2 Zn2 Pt4'
_symmetry_space_group_name_H-M 'I m m 2'
_symmetry_Int_Tables_number 44
_cell_length_a 3.716
_cell_length_b 3.853
_cell_length_c 10.042
_cell_angle_alpha 90.00
_cell_angle_beta 90.00
_cell_angle_gamma 90.00
loop_
_symmetry_equiv_pos_as_xyz
'x,y,z'
'-x,-y,z'
'-x,y,z'
'x,-y,z'
'x+1/2,y+1/2,z+1/2'
'-x+1/2,-y+1/2,z+1/2'
'-x+1/2,y+1/2,z+1/2'
'x+1/2,-y+1/2,z+1/2'
loop_
_atom_site_label
_atom_site_type_symbol
_atom_site_fract_x
_atom_site_fract_y
_atom_site_fract_z
Tl1 Tl 0.000 0.000 0.000
Zn1 Zn 0.000 0.500 0.740
Pt1 Pt 0.000 0.000 0.421
Pt2 Pt 0.000 0.500 0.207



# TlZnPt2, optimized geometry, DFT GGA-PBE
# Final energy ... -48.471 eV for the cell shown
# N(E_F) ... 0.36 states/eV per atom
# Crystal system ... trigonal
data_TlZnPt2
_chemical_formula_sum 'Tl3 Zn3 Pt6'
_symmetry_space_group_name_H-M 'R -3 m'
_symmetry_Int_Tables_number 166
_symmetry_space_group_name_Hall '-R 3 2"'
_cell_length_a 3.0167
_cell_length_b 3.0167
_cell_length_c 26.8363
_cell_angle_alpha 90.00
_cell_angle_beta 90.00
_cell_angle_gamma 120.00
loop_
_atom_site_label
_atom_site_type_symbol
_atom_site_fract_x
_atom_site_fract_y
_atom_site_fract_z
Tl1 Tl 0.0000 0.0000 0.0000
Zn1 Zn 0.0000 0.0000 0.5000
Pt1 Pt 0.0000 0.0000 0.2399



# TlZn2Pt, optimized geometry, DFT GGA-PBE
# Final energy ... -23.563 eV for the cell shown
# N(E_F) ... 0.38 states/eV per atom
# Energy relative to the lowest polymorph listed for this composition ... 0.000 eV/atom
# Crystal system ... monoclinic
data_TlZn2Pt
_chemical_formula_sum 'Tl2 Zn4 Pt2'
_symmetry_space_group_name_H-M 'C 1 2/m 1'
_symmetry_Int_Tables_number 12
_cell_length_a 7.842
_cell_length_b 4.527
_cell_length_c 5.324
_cell_angle_alpha 90.00
_cell_angle_beta 93.15
_cell_angle_gamma 90.00
loop_
_symmetry_equiv_pos_as_xyz
'x,y,z'
'-x,-y,-z'
'-x,y,-z'
'x,-y,z'
'x+1/2,y+1/2,z'
'-x+1/2,-y+1/2,-z'
'-x+1/2,y+1/2,-z'
'x+1/2,-y+1/2,z'
loop_
_atom_site_label
_atom_site_type_symbol
_atom_site_fract_x
_atom_site_fract_y
_atom_site_fract_z
Tl1 Tl 0.000 0.000 0.000
Zn1 Zn 0.167 0.500 0.500
Pt1 Pt 0.000 0.000 0.500



Number 1: calculated density 10.61 g/cm³, ΔE_f 536 meV/atom, size of the total moment 0.0 μB/f.u.. Number 2: calculated density 16.00 g/cm³, ΔE_f -110 meV/atom, size of the total moment 0.0 μB/f.u.. Number 3: calculated density 16.12 g/cm³, ΔE_f -156 meV/atom, size of the total moment 0.0 μB/f.u.. Number 4: calculated density 12.68 g/cm³, ΔE_f 19 meV/atom, size of the total moment 0.0 μB/f.u.. Number 5: calculated density 12.14 g/cm³, ΔE_f -67 meV/atom, size of the total moment 0.0 μB/f.u.. Number 6: calculated density 15.37 g/cm³, ΔE_f -98 meV/atom, size of the total moment 0.0 μB/f.u.. Number 7: calculated density 15.91 g/cm³, ΔE_f 5 meV/atom, size of the total moment 0.0 μB/f.u.. Number 8: calculated density 12.57 g/cm³, ΔE_f 24 meV/atom, size of the total moment 0.0 μB/f.u.. Number 9: calculated density 10.64 g/cm³, ΔE_f -97 meV/atom, size of the total moment 0.0 μB/f.u.. Number 10: calculated density 15.24 g/cm³, ΔE_f -118 meV/atom, size of the total moment 0.0 μB/f.u.. Number 11: calculated density 15.54 g/cm³, ΔE_f -109 meV/atom, size of the total moment 0.0 μB/f.u.. Number 12: calculated density 9.33 g/cm³, ΔE_f -207 meV/atom, size of the total moment 0.0 μB/f.u..